(1)
# Mn3Ir GGA-PBE relaxed
# E_tot: -9.121 eV per atom
# Space-group type: No. 123
# Energy of formation: -0.028 eV/atom
# DOS(E_F): 4.6 states/eV/cell
data_Mn3Ir
_space_group_name_H-M_alt 'P 1'
_space_group_IT_number 1
_space_group_name_Hall 'P 1'
_cell_length_a 2.6182
_cell_length_b 2.6182
_cell_length_c 7.1852
_cell_angle_alpha 90.00
_cell_angle_beta 90.00
_cell_angle_gamma 90.00
loop_
_atom_site_label
_atom_site_type_symbol
_atom_site_fract_x
_atom_site_fract_y
_atom_site_fract_z
Ir1 Ir 0.0000 0.0000 0.0000
Mn1 Mn 0.0000 0.0000 0.5000
Mn2 Mn 0.5000 0.5000 0.2586
Mn3 Mn 0.5000 0.5000 0.7414



(2)
# MnIr GGA-PBE relaxed
# E_tot: -8.843 eV per atom
# Space-group type: No. 227
# Energy of formation: 0.172 eV/atom
# DOS(E_F): 3.9 states/eV/cell
data_MnIr
_space_group_name_H-M_alt 'P 1'
_space_group_IT_number 1
_space_group_name_Hall 'P 1'
_cell_length_a 4.3014
_cell_length_b 4.3014
_cell_length_c 4.3014
_cell_angle_alpha 60.00
_cell_angle_beta 60.00
_cell_angle_gamma 60.00
loop_
_atom_site_label
_atom_site_type_symbol
_atom_site_fract_x
_atom_site_fract_y
_atom_site_fract_z
Ir1 Ir 0.0000 0.0000 0.0000
Ir2 Ir 0.2500 0.2500 0.2500
Mn1 Mn 0.7500 0.7500 0.7500
Mn2 Mn 0.5000 0.5000 0.5000